(1)
Density functional theory data (PBE-GGA) for a relaxed structure of Na2LaReO6.

Cell and atoms, written as POSCAR:
```
Na2LaReO6
1.0
5.7068 0.0000 0.0000
0.0000 5.9304 0.0000
-5.6765 0.0000 8.2276
Na La Re O
4 2 2 12
Cartesian
-0.0477 0.2459 2.1192 Na
-2.8860 2.7193 6.2330 Na
2.9162 3.2111 1.9946 Na
0.0780 5.6845 6.1085 Na
2.8534 0.0000 0.0000 La
0.0151 2.9652 4.1138 La
-2.8383 0.0000 4.1138 Re
0.0000 2.9652 0.0000 Re
-4.7534 1.3824 7.6924 O
-1.9151 1.5828 3.5785 O
-4.1145 3.9803 7.8638 O
-1.2762 4.9153 3.7500 O
-2.2497 0.2872 5.9080 O
0.5886 2.6780 1.7942 O
-0.5583 3.2524 6.4334 O
2.2799 5.6432 2.3196 O
1.3065 1.0151 4.4777 O
4.1448 1.9501 0.3639 O
1.9454 4.3476 4.6491 O
4.7836 4.5480 0.5353 O
```

Properties
Formation energy without anion corrections: -2.14 eV per atom
V: 278 Å³ per cell
Mass density: 5.57 g/cm3
DOS(E_F): 0.0 states/eV/f.u.

***

(2)
Density functional theory data (PBE-GGA) for a relaxed structure of NaLa2Rh3O8.

Cell and atoms, written as POSCAR:
```
NaLa2Rh3O8
1.0
3.2481 1.8753 5.7356
-3.2481 1.8753 5.7356
0.0000 -3.7506 5.7356
Na La Rh O
1 2 3 8
Cartesian
0.0000 0.0000 0.0000 Na
0.0000 0.0000 3.0496 La
0.0000 0.0000 11.3999 La
-1.6003 -0.9239 8.3513 Rh
1.6003 -0.9239 8.3513 Rh
0.0000 1.8479 8.3513 Rh
0.0000 -1.5794 9.5435 O
-1.3678 0.7897 9.5435 O
0.0000 0.0000 7.4029 O
-1.5605 -0.9009 12.9726 O
1.3678 0.7897 9.5435 O
0.0000 0.0000 15.0153 O
1.5605 -0.9009 12.9726 O
0.0000 1.8019 12.9726 O
```

Properties
Formation energy without anion corrections: -1.76 eV per atom
V: 210 Å³ per cell
Mass density: 5.84 g/cm3

***

(3)
Density functional theory data (PBE-GGA) for a relaxed structure of Na3La2RhO6.

Cell and atoms, written as POSCAR:
```
Na3La2RhO6
1.0
2.9667 -5.1922 0.0000
2.9667 5.1922 0.0000
-1.8445 0.0000 5.6690
Na La Rh O
3 2 1 6
Cartesian
0.0000 0.0000 0.0000 Na
2.9667 1.4853 0.0000 Na
2.9667 -1.4853 0.0000 Na
2.0444 3.4456 2.8345 La
2.0444 -3.4456 2.8345 La
2.0444 0.0000 2.8345 Rh
1.1478 1.5506 1.5880 O
0.2341 0.0000 4.0383 O
1.1478 -1.5506 1.5880 O
2.9410 1.5506 4.0811 O
3.8547 0.0000 1.6307 O
2.9410 -1.5506 4.0811 O
```

Properties
Formation energy without anion corrections: -2.07 eV per atom
V: 175 Å³ per cell
Mass density: 5.19 g/cm3

***

(4)
Density functional theory data (PBE-GGA) for a relaxed structure of NaLa2RuO8.

Cell and atoms, written as POSCAR:
```
NaLa2RuO8
1.0
4.3646 0.0000 0.0000
0.0451 5.2426 0.0000
1.8651 0.0155 7.1164
Na La Ru O
1 2 1 8
Cartesian
0.0000 0.0000 0.0000 Na
2.2030 2.5727 2.0236 La
4.0718 2.6854 5.0928 La
0.9326 0.0077 3.5582 Ru
0.7276 2.8431 0.0158 O
1.9127 3.6325 4.2040 O
2.1345 1.1324 4.3777 O
1.9220 0.0537 1.8861 O
4.3528 5.2044 5.2303 O
4.1404 4.1256 2.7387 O
4.3621 1.6255 2.9124 O
5.5472 2.4150 7.1006 O
```

Properties
Formation energy without anion corrections: -1.86 eV per atom
V: 163 Å³ per cell
Mass density: 5.40 g/cm3
DOS(E_F): 2.7 states/eV/f.u.

***

(5)
Density functional theory data (PBE-GGA) for a relaxed structure of NaLaRu2O8.

Cell and atoms, written as POSCAR:
```
NaLaRu2O8
1.0
-2.6854 2.6854 5.9385
2.6854 -2.6854 5.9385
2.6854 2.6854 -5.9385
Na La Ru O
1 1 2 8
Cartesian
0.0000 0.0000 0.0000 Na
0.0000 2.6854 2.9692 La
2.6854 0.0000 2.9692 Ru
0.0000 0.0000 5.9385 Ru
4.0007 -0.7838 2.0189 O
1.9016 -1.3153 3.9195 O
1.9414 1.3854 -1.0003 O
1.3701 0.7838 2.0189 O
1.3000 -0.7440 6.9387 O
3.4692 1.3153 3.9195 O
0.7440 1.3000 4.9382 O
1.3854 3.4293 1.0003 O
```

Properties
Formation energy without anion corrections: -1.48 eV per atom
V: 171 Å³ per cell
Mass density: 4.77 g/cm3
DOS(E_F): 4.9 states/eV/f.u.

***

(6)
Density functional theory data (PBE-GGA) for a relaxed structure of NaLa2RuO6.

Cell and atoms, written as POSCAR:
```
NaLa2RuO6
1.0
5.6380 0.0000 0.0000
0.0000 6.0152 0.0000
-5.5487 0.0000 8.0965
Na La Ru O
2 4 2 12
Cartesian
0.0000 0.0000 0.0000 Na
-2.7743 3.0076 4.0482 Na
-2.8542 0.4065 6.0445 La
-0.0799 2.6011 1.9962 La
0.1692 3.4141 6.1002 La
2.9435 5.6087 2.0520 La
0.0446 0.0000 4.0482 Ru
2.8190 3.0076 0.0000 Ru
-1.5890 1.0433 3.6366 O
-4.3634 1.9643 7.6848 O
-0.8968 4.3409 3.5023 O
-3.6712 4.6819 7.5505 O
0.6734 0.2948 2.1889 O
-2.1010 2.7127 6.2371 O
2.1903 3.3024 1.8594 O
-0.5841 5.7203 5.9076 O
3.7605 1.3333 0.5459 O
0.9861 1.6743 4.5942 O
4.4527 4.0509 0.4116 O
1.6783 4.9718 4.4599 O
```

Properties
Formation energy without anion corrections: -2.37 eV per atom
V: 275 Å³ per cell
Mass density: 6.02 g/cm3

***

(7)
Density functional theory data (PBE-GGA) for a relaxed structure of NaLaS2O.

Cell and atoms, written as POSCAR:
```
NaLaS2O
1.0
4.8366 0.0000 0.0000
0.0000 4.8366 0.0000
0.0000 0.0000 3.9997
Na La S O
1 1 2 1
Cartesian
0.0000 0.0000 0.0000 Na
2.4183 2.4183 0.0000 La
0.0000 2.4183 1.9998 S
2.4183 0.0000 1.9998 S
0.0000 0.0000 1.9998 O
```

Properties
Formation energy without anion corrections: -0.93 eV per atom
V: 94 Å³ per cell
Mass density: 4.30 g/cm3
DOS(E_F): 1.0 states/eV/f.u.

***

(8)
Density functional theory data (PBE-GGA) for a relaxed structure of NaLaSO.

Cell and atoms, written as POSCAR:
```
NaLaSO
1.0
3.9457 0.0000 0.0000
-1.9729 3.4171 0.0000
0.0000 0.0000 18.8700
Na La S O
3 3 3 3
Cartesian
0.0000 0.0000 0.0000 Na
0.0000 2.2781 12.5800 Na
1.9729 1.1390 6.2900 Na
0.0000 0.0000 9.6126 La
0.0000 2.2781 3.3226 La
1.9729 1.1390 15.9026 La
0.0000 0.0000 14.0710 S
0.0000 2.2781 7.7810 S
1.9729 1.1390 1.4909 S
0.0000 0.0000 4.1908 O
0.0000 2.2781 16.7708 O
1.9729 1.1390 10.4808 O
```

Properties
Formation energy without anion corrections: -2.22 eV per atom
V: 254 Å³ per cell
Mass density: 4.11 g/cm3
DOS(E_F): 0.0 states/eV/f.u.

***

Q: What is the formation energy without anion corrections in the fifth record?
A: -1.48 eV per atom